A relaxed structure of LaNdGaHg. Source: Alexandria via LeMat-Bulk, functional PBE.

extended XYZ file:
```
4
Lattice="-2.579 1.227 4.584 2.290 -1.104 4.766 1.807 4.019 3.123" Properties=species:S:1:pos:R:3 pbc="T T T"
Nd 0.000 0.000 0.000
Hg 1.138 3.107 9.355
Ga 0.379 1.036 3.118
La 0.759 2.071 6.237
```

Properties
As for the calculated total energy: -15.0 eV per cell. The density of states at the Fermi level comes out at 1.352 states/eV per atom. The calculation puts the formation energy at -0.50 eV per atom. As for the energy above the most stable polymorph in this dataset: 2.75 kJ per mole of atoms.



A relaxed structure of La3Nd3GaHg2. Source: Alexandria via LeMat-Bulk, functional PBE.

extended XYZ file:
```
9
Lattice="-2.919 2.998 -0.390 -0.542 -1.642 -8.564 -5.152 -4.286 5.604" Properties=species:S:1:pos:R:3 pbc="T T T"
Ga 0.000 0.000 0.000
Nd -0.217 -0.658 -3.432
Nd -3.412 -3.552 -1.774
Nd -2.065 -1.718 2.246
La -1.861 0.282 -6.544
La -2.932 -0.034 -0.961
La -5.279 -1.679 3.959
Hg -5.075 -1.906 0.686
Hg -3.538 -1.024 -4.036
```

Properties
As for the calculated total energy: -35.6 eV per cell. The density of states at the Fermi level comes out at 1.264 states/eV per atom. The calculation puts the formation energy at -0.32 eV per atom.



A relaxed structure of La2GaHgOs. Source: Alexandria via LeMat-Bulk, functional PBE.

extended XYZ file:
```
5
Lattice="5.541 0.000 0.000 0.000 5.541 0.000 0.000 0.000 4.885" Properties=species:S:1:pos:R:3 pbc="T T T"
La 0.000 2.771 0.000
La 2.771 0.000 0.000
Hg 2.771 2.771 2.442
Os 0.000 0.000 0.000
Ga 0.000 0.000 2.442
```

Properties
As for the calculated total energy: -25.9 eV per cell. The density of states at the Fermi level comes out at 0.582 states/eV per atom. The calculation puts the formation energy at -0.30 eV per atom.



A relaxed structure of La2GaHgPb. Source: Alexandria via LeMat-Bulk, functional PBE.

extended XYZ file:
```
5
Lattice="6.164 0.000 0.000 0.000 6.164 0.000 0.000 0.000 5.149" Properties=species:S:1:pos:R:3 pbc="T T T"
Ga 0.000 0.000 2.575
Hg 3.082 3.082 2.575
Pb 0.000 0.000 0.000
La 3.082 0.000 0.000
La 0.000 3.082 0.000
```

Properties
As for the calculated total energy: -15.7 eV per cell. The density of states at the Fermi level comes out at 1.334 states/eV per atom. The calculation puts the formation energy at 0.23 eV per atom.



A relaxed structure of LaGaHgPb. Source: Alexandria via LeMat-Bulk, functional PBE.

extended XYZ file:
```
4
Lattice="5.339 0.000 0.000 2.670 4.624 0.000 2.670 1.541 4.359" Properties=species:S:1:pos:R:3 pbc="T T T"
La 0.000 0.000 0.000
Hg 8.009 4.624 3.270
Ga 2.670 1.541 1.090
Pb 5.339 3.083 2.180
```

Properties
As for the calculated total energy: -13.4 eV per cell. The density of states at the Fermi level comes out at 0.477 states/eV per atom. The calculation puts the formation energy at -0.36 eV per atom.



A relaxed structure of LaGaHgPd3. Source: Alexandria via LeMat-Bulk, functional PBE.

extended XYZ file:
```
12
Lattice="5.898 0.000 0.000 0.000 7.148 0.000 0.000 -3.574 6.181" Properties=species:S:1:pos:R:3 pbc="T T T"
La 1.475 3.574 2.389
La 4.424 0.000 3.792
Hg 1.475 3.574 5.461
Hg 4.424 0.000 0.721
Pd 0.000 4.975 0.000
Pd 1.475 0.000 2.174
Pd 2.949 4.975 0.000
Pd 0.000 2.173 0.000
Pd 4.424 3.574 4.007
Pd 2.949 2.173 0.000
Ga 4.424 3.574 1.538
Ga 1.475 0.000 4.643
```

Properties
As for the calculated total energy: -53.3 eV per cell. The density of states at the Fermi level comes out at 0.502 states/eV per atom. The calculation puts the formation energy at -0.47 eV per atom.



Please write out number 1 again, unchanged.
A relaxed structure of LaNdGaHg. Source: Alexandria via LeMat-Bulk, functional PBE.

extended XYZ file:
```
4
Lattice="-2.579 1.227 4.584 2.290 -1.104 4.766 1.807 4.019 3.123" Properties=species:S:1:pos:R:3 pbc="T T T"
Nd 0.000 0.000 0.000
Hg 1.138 3.107 9.355
Ga 0.379 1.036 3.118
La 0.759 2.071 6.237
```

Properties
As for the calculated total energy: -15.0 eV per cell. The density of states at the Fermi level comes out at 1.352 states/eV per atom. The calculation puts the formation energy at -0.50 eV per atom. As for the energy above the most stable polymorph in this dataset: 2.75 kJ per mole of atoms.



Q: What is the formula in the second record?
A: La3Nd3GaHg2